[1]
Here is a relaxed structure of Mn2GaN from Alexandria via LeMat-Bulk. Energies are from PBE-GGA.

abc: 2.8308 2.8308 18.8437
angles: 90.00 90.00 120.00
Site moments in Bohr magnetons follow the coordinates.
Sites, in units of the cell vectors:
Mn1 0.0000 0.0000 0.1783  1.73
Mn2 0.3333 0.6667 0.8450  1.73
Mn3 0.6667 0.3333 0.5117  1.73
Mn4 0.0000 0.0000 0.9604  1.66
Mn5 0.3333 0.6667 0.6271  1.66
Mn6 0.6667 0.3333 0.2938  1.66
Ga1 0.0000 0.0000 0.7363  -0.07
Ga2 0.3333 0.6667 0.4030  -0.07
Ga3 0.6667 0.3333 0.0696  -0.07
N1 0.0000 0.0000 0.5690  -0.05
N2 0.3333 0.6667 0.2357  -0.05
N3 0.6667 0.3333 0.9023  -0.05

Computed properties:
- Uncorrected formation energy: -0.235 eV/atom
- Total moment: 3.286 μB per formula unit
- SG: R3m

***

[2]
Here is a relaxed structure of ScPdSe2 from Alexandria via LeMat-Bulk. Energies are from PBE-GGA.

abc: 3.8278 3.8278 6.7877
angles: 73.62 73.62 60.00
Sites, in units of the cell vectors:
Sc1 0.5010 0.5010 0.4970
Pd1 0.6652 0.6652 0.0045
Se1 0.0828 0.0828 0.7517
Se2 0.2511 0.2511 0.2467

Computed properties:
- Uncorrected formation energy: -0.887 eV/atom
- Total moment: 0.000 μB per formula unit
- SG: R3m

***

[3]
Here is a relaxed structure of K6Na23Cd from Alexandria via LeMat-Bulk. Energies are from PBE-GGA.

abc: 12.2316 12.2316 12.2316
angles: 60.00 60.00 60.00
Sites, in units of the cell vectors:
K1 0.7092 0.7092 0.2908
K2 0.2908 0.2908 0.7092
K3 0.7092 0.2908 0.2908
K4 0.2908 0.7092 0.7092
K5 0.7092 0.2908 0.7092
K6 0.2908 0.7092 0.2908
Na1 0.6411 0.1196 0.1196
Na2 0.3589 0.8804 0.8804
Na3 0.1196 0.1196 0.6411
Na4 0.1196 0.1196 0.1196
Na5 0.8804 0.8804 0.3589
Na6 0.8804 0.8804 0.8804
Na7 0.1196 0.6411 0.1196
Na8 0.8804 0.3589 0.8804
Na9 0.5000 0.5000 0.0000
Na10 0.0000 0.0000 0.5000
Na11 0.5000 0.0000 0.0000
Na12 0.0000 0.5000 0.5000
Na13 0.5000 0.0000 0.5000
Na14 0.0000 0.5000 0.0000
Na15 0.0178 0.3274 0.3274
Na16 0.9822 0.6726 0.6726
Na17 0.3274 0.3274 0.0178
Na18 0.3274 0.3274 0.3274
Na19 0.6726 0.6726 0.9822
Na20 0.6726 0.6726 0.6726
Na21 0.3274 0.0178 0.3274
Na22 0.6726 0.9822 0.6726
Na23 0.0000 0.0000 0.0000
Cd1 0.5000 0.5000 0.5000

Computed properties:
- Formation energy: 0.02 eV/atom
- Total moment: 0.000 μB per formula unit
- SG: Fm-3m

***

[4]
Here is a relaxed structure of ZrTcPW2 from Alexandria via LeMat-Bulk. Energies are from PBE-GGA.

abc: 4.8439 4.3321 4.8439
angles: 90.00 90.00 90.00
Sites, in units of the cell vectors:
Zr1 0.5000 0.5000 0.5000
Tc1 0.0000 0.0000 0.0000
W1 0.0000 0.0000 0.5000
W2 0.5000 0.0000 0.0000
P1 0.0000 0.5000 0.0000

Computed properties:
- Formation energy: 1.16 eV/atom
- Total moment: 0.000 μB per formula unit
- SG: P4/mmm